one:
A relaxed IrPb3S crystal. Source: Alexandria, functional GGA-PBE.

It has space group Pm-3m (No. 221), with a = 5.296 Å, b = 5.296 Å, c = 5.296 Å, α = 90.00°, β = 90.00° and γ = 90.00°. The asymmetric unit holds Ir at (0.000, 0.000, 0.000), Pb at (0.000, 0.000, 0.500) and S at (0.500, 0.500, 0.500).

Its density is 9.5 g/cm³. The calculation puts the volume at 29.72 Å³/atom. The density of states at the Fermi level is 2.86 states/eV/cell.

two:
A relaxed IrPb3S crystal. Source: Alexandria, functional GGA-PBE.

It has space group Pm-3m (No. 221), with a = 5.361 Å, b = 5.361 Å, c = 5.361 Å, α = 90.00°, β = 90.00° and γ = 90.00°. The asymmetric unit holds Ir at (0.000, 0.000, 0.000), Pb at (0.000, 0.500, 0.500) and S at (0.500, 0.500, 0.500).

Its density is 9.1 g/cm³. The calculation puts the volume at 30.81 Å³/atom. The density of states at the Fermi level is 3.62 states/eV/cell.

The data favor one; the next most stable structure lies 0.712 eV/atom above it.

one:
A relaxed IrPbSe2S crystal. Source: Alexandria, functional GGA-PBE.

It has space group P4/mmm (No. 123), with a = 5.460 Å, b = 5.460 Å, c = 5.202 Å, α = 90.00°, β = 90.00° and γ = 90.00°. The asymmetric unit holds Ir at (0.000, 0.000, 0.000), Pb at (0.000, 0.000, 0.500), Se at (0.000, 0.500, 0.500) and S at (0.500, 0.500, 0.000).

Its density is 6.3 g/cm³. The calculation puts the volume at 31.01 Å³/atom. The density of states at the Fermi level is 6.62 states/eV/cell.

two:
A relaxed IrPbSe2S crystal. Source: Alexandria, functional GGA-PBE.

It has space group P4/mmm (No. 123), with a = 4.718 Å, b = 4.718 Å, c = 5.388 Å, α = 90.00°, β = 90.00° and γ = 90.00°. The asymmetric unit holds Ir at (0.000, 0.000, 0.000), Pb at (0.500, 0.500, 0.000), Se at (0.000, 0.500, 0.500) and S at (0.500, 0.500, 0.500).

Its density is 8.2 g/cm³. The calculation puts the volume at 23.98 Å³/atom. The density of states at the Fermi level is 4.20 states/eV/cell.

The data favor two; the next most stable structure lies 0.573 eV/atom above it.